Computed, not measured: a relaxed structure of AcEuCdCu at the PBE level of DFT.

Values from the calculation:
For the total magnetization, the calculation gives 7.3 μB/f.u. Its formation energy is -0.16 eV/atom.

Unit cell a=7.7819 b=7.7819 c=7.7819 alpha=90.00 beta=90.00 gamma=90.00
With the nearest neighbours (Å) after each atom.
Space group F-43m (No. 216)
Asymmetric unit:
Ac1 0.0000 0.0000 0.0000 x4  4 Cd 3.37, 4 Cu 3.37
Eu1 0.0000 0.0000 0.5000 x4  4 Cd 3.37, 4 Cu 3.37
Cd1 0.2500 0.2500 0.7500 x4  4 Ac 3.37, 4 Eu 3.37
Cu1 0.2500 0.2500 0.2500 x4  4 Ac 3.37, 4 Eu 3.37